! BaWN3 | Alexandria via LeMat-Bulk | PBE | relaxed; values from VASP
! Size of the total moment in Bohr magnetons per cell: 0.40
! Crystal system: tetragonal
! Uncorrected formation energy in eV/atom: -0.517
! Calculated density in g cm⁻³: 7.47
! Total energy in eV for the cell shown: -42.44
! SG: P4mm (99)
&SYSTEM
  ibrav = 0, nat = 5, ntyp = 3
/
ATOMIC_SPECIES
N 14.01 N.upf
W 183.84 W.upf
Ba 137.33 Ba.upf
CELL_PARAMETERS angstrom
-1.601 6.760 3.328
-3.657 1.145 0.367
0.522 0.451 3.787
ATOMIC_POSITIONS crystal
N 0.841 0.551 0.904
N 0.841 0.051 0.404
N 0.405 0.486 0.340
W 0.734 0.157 0.011
Ba 0.242 0.150 0.004